(1)
Entry from Alexandria via LeMat-Bulk: a geometry-optimized Ce3SbSe6 structure (PBE).

a = 11.3353 Å, b = 14.2025 Å, c = 7.2258 Å
α = 90.00°, β = 90.00°, γ = 90.00°
Space group Cmc2_1 (No. 36)
Inequivalent atoms, fractional coordinates:
Ce: 0.0000 0.0985 0.0000
Ce: 0.1831 0.3996 0.1029
Sb: 0.0000 0.3286 0.6121
Se: 0.0000 0.2669 0.2466
Se: 0.0000 0.4927 0.8589
Se: 0.1632 0.0313 0.3006
Se: 0.1680 0.2356 0.8169

Calculated values
* total energy: -5.68 eV/atom



(2)
Entry from Alexandria via LeMat-Bulk: a geometry-optimized TbCeSbSe structure (PBE).

a = 4.1880 Å, b = 4.1880 Å, c = 22.8323 Å
α = 90.00°, β = 90.00°, γ = 120.00°
Space group R3m (No. 160, hexagonal axes)
Inequivalent atoms, fractional coordinates:
Tb: 0.0000 0.0000 0.0000
Ce: 0.0000 0.0000 0.8339
Sb: 0.0000 0.0000 0.4134
Se: 0.0000 0.0000 0.5885

Calculated values
* total energy: -5.88 eV/atom



(3)
Entry from Alexandria via LeMat-Bulk: a geometry-optimized Ce4Sb2TeSe structure (PBE).

a = 7.6166 Å, b = 4.4544 Å, c = 7.7251 Å
α = 90.00°, β = 109.71°, γ = 90.00°
Space group P2/m (No. 10)
Inequivalent atoms, fractional coordinates:
Ce: 0.2410 0.0000 0.2389
Ce: 0.2468 0.5000 0.7574
Sb: 0.5000 0.0000 0.0000
Sb: 0.5000 0.5000 0.5000
Te: 0.0000 0.0000 0.5000
Se: 0.0000 0.5000 0.0000

Calculated values
* total energy: -6.13 eV/atom



(4)
Entry from Alexandria via LeMat-Bulk: a geometry-optimized Ce6Sb2Te3Se structure (PBE).

a = 19.4267 Å, b = 4.4506 Å, c = 8.9185 Å
α = 90.00°, β = 103.68°, γ = 90.00°
Space group C2/m (No. 12)
Inequivalent atoms, fractional coordinates:
Ce: 0.0015 0.0000 0.2671
Ce: 0.1590 0.5000 0.5805
Ce: 0.1679 0.5000 0.0808
Sb: 0.1652 0.0000 0.8315
Te: 0.0000 0.5000 0.0000
Te: 0.1702 0.0000 0.3345
Se: 0.0000 0.5000 0.5000

Calculated values
* total energy: -6.07 eV/atom



(5)
Entry from Alexandria via LeMat-Bulk: a geometry-optimized Ce6Sb3TeSe2 structure (PBE).

a = 19.1486 Å, b = 4.4243 Å, c = 8.7850 Å
α = 90.00°, β = 102.65°, γ = 90.00°
Space group C2/m (No. 12)
Inequivalent atoms, fractional coordinates:
Ce: 0.0060 0.0000 0.2554
Ce: 0.1693 0.5000 0.0955
Ce: 0.1702 0.5000 0.5751
Sb: 0.0000 0.5000 0.5000
Sb: 0.1634 0.0000 0.8321
Te: 0.0000 0.5000 0.0000
Se: 0.1682 0.0000 0.3346

Calculated values
* total energy: -6.19 eV/atom



(6)
Entry from Alexandria via LeMat-Bulk: a geometry-optimized Ce6Sb2TeSe3 structure (PBE).

a = 18.9760 Å, b = 4.3409 Å, c = 8.7153 Å
α = 90.00°, β = 103.46°, γ = 90.00°
Space group C2/m (No. 12)
Inequivalent atoms, fractional coordinates:
Ce: 0.0041 0.0000 0.2366
Ce: 0.1629 0.5000 0.0927
Ce: 0.1716 0.5000 0.5739
Sb: 0.1663 0.0000 0.8326
Te: 0.0000 0.5000 0.5000
Se: 0.0000 0.5000 0.0000
Se: 0.1665 0.0000 0.3332

Calculated values
* total energy: -6.26 eV/atom



(7)
Entry from Alexandria via LeMat-Bulk: a geometry-optimized CeTl3Sb2Se6 structure (PBE).

a = 7.3903 Å, b = 12.8014 Å, c = 8.0608 Å
α = 90.00°, β = 107.85°, γ = 90.00°
Space group C2/m (No. 12)
Inequivalent atoms, fractional coordinates:
Ce: 0.0000 0.0000 0.0000
Tl: 0.0000 0.1653 0.5000
Tl: 0.0000 0.5000 0.5000
Sb: 0.0000 0.3337 0.0000
Se: 0.2296 0.5000 0.2065
Se: 0.2393 0.1694 0.2090

Calculated values
* total energy: -4.19 eV/atom



(8)
Entry from Alexandria via LeMat-Bulk: a geometry-optimized CeTl2SbSe4 structure (PBE).

a = 8.8001 Å, b = 8.8636 Å, c = 12.4574 Å
α = 90.00°, β = 90.00°, γ = 90.00°
Space group Imma (No. 74)
Inequivalent atoms, fractional coordinates:
Ce: 0.2500 0.2500 0.2500
Tl: 0.0000 0.0000 0.0000
Tl: 0.2500 0.2500 0.7500
Sb: 0.0000 0.0000 0.5000
Se: 0.0000 0.0252 0.2648
Se: 0.2221 0.2500 0.4887

Calculated values
* total energy: -4.41 eV/atom



(9)
Entry from Alexandria via LeMat-Bulk: a geometry-optimized Ce3Tl3SbSe8 structure (PBE).

a = 8.5877 Å, b = 8.5877 Å, c = 23.1365 Å
α = 90.00°, β = 90.00°, γ = 120.00°
Space group R-3m (No. 166, hexagonal axes)
Inequivalent atoms, fractional coordinates:
Ce: 0.0000 0.5000 0.0000
Tl: 0.0000 0.5000 0.5000
Sb: 0.0000 0.0000 0.0000
Se: 0.0000 0.0000 0.2637
Se: 0.0033 0.5016 0.7338

Calculated values
* total energy: -4.93 eV/atom



(10)
Entry from Alexandria via LeMat-Bulk: a geometry-optimized CeTmSbSe structure (PBE).

a = 4.1547 Å, b = 4.1547 Å, c = 22.6385 Å
α = 90.00°, β = 90.00°, γ = 120.00°
Space group R3m (No. 160, hexagonal axes)
Inequivalent atoms, fractional coordinates:
Ce: 0.0000 0.0000 0.0000
Tm: 0.0000 0.0000 0.1656
Sb: 0.0000 0.0000 0.5775
Se: 0.0000 0.0000 0.7562

Calculated values
* total energy: -5.81 eV/atom



(11)
Entry from Alexandria via LeMat-Bulk: a geometry-optimized CeYSbSe structure (PBE).

a = 4.1822 Å, b = 4.1822 Å, c = 22.8000 Å
α = 90.00°, β = 90.00°, γ = 120.00°
Space group R3m (No. 160, hexagonal axes)
Inequivalent atoms, fractional coordinates:
Ce: 0.0000 0.0000 0.0000
Y: 0.0000 0.0000 0.8340
Sb: 0.0000 0.0000 0.4209
Se: 0.0000 0.0000 0.2453

Calculated values
* total energy: -6.35 eV/atom



(12)
Entry from Alexandria via LeMat-Bulk: a geometry-optimized Ce4SiSb structure (PBE).

a = 8.2042 Å, b = 13.9517 Å, c = 5.8980 Å
α = 90.00°, β = 111.19°, γ = 90.00°
Space group C2/c (No. 15)
Inequivalent atoms, fractional coordinates:
Ce: 0.0791 0.1844 0.0762
Ce: 0.1876 0.4162 0.3451
Si: 0.0000 0.0067 0.7500
Sb: 0.0000 0.3768 0.7500

Calculated values
* total energy: -6.10 eV/atom



(13)
Entry from Alexandria via LeMat-Bulk: a geometry-optimized Ce6SiSb structure (PBE).

a = 4.6630 Å, b = 4.6630 Å, c = 9.3247 Å
α = 90.00°, β = 90.00°, γ = 90.00°
Space group P4/mmm (No. 123)
Inequivalent atoms, fractional coordinates:
Ce: 0.0000 0.0000 0.0000
Ce: 0.0000 0.0000 0.5000
Ce: 0.0000 0.5000 0.2359
Si: 0.5000 0.5000 0.0000
Sb: 0.5000 0.5000 0.5000

Calculated values
* total energy: -6.10 eV/atom



(14)
Entry from Alexandria via LeMat-Bulk: a geometry-optimized Ce6SiSb2 structure (PBE).

a = 4.2534 Å, b = 14.1974 Å, c = 8.3702 Å
α = 90.00°, β = 90.00°, γ = 90.00°
Space group Amm2 (No. 38)
Inequivalent atoms, fractional coordinates:
Ce: 0.0000 0.0000 0.0000
Ce: 0.0000 0.0965 0.5724
Ce: 0.5000 0.0000 0.2457
Ce: 0.5000 0.1985 0.9158
Si: 0.5000 0.0000 0.7562
Sb: 0.0000 0.1850 0.2085

Calculated values
* total energy: -6.11 eV/atom



(15)
Entry from Alexandria via LeMat-Bulk: a geometry-optimized Ce4SiSb3 structure (PBE).

a = 7.6737 Å, b = 8.8458 Å, c = 7.6462 Å
α = 90.00°, β = 109.47°, γ = 90.00°
Space group P2/c (No. 13)
Inequivalent atoms, fractional coordinates:
Ce: 0.2350 0.1169 0.0010
Ce: 0.2427 0.3662 0.4913
Si: 0.0000 0.1249 0.2500
Sb: 0.0000 0.3750 0.7500
Sb: 0.5000 0.1252 0.7500
Sb: 0.5000 0.3760 0.2500

Calculated values
* total energy: -6.08 eV/atom



(16)
Entry from Alexandria via LeMat-Bulk: a geometry-optimized Ce5SiSb3 structure (PBE).

a = 9.4289 Å, b = 9.4289 Å, c = 6.3700 Å
α = 90.00°, β = 90.00°, γ = 120.00°
Space group P6_3/mcm (No. 193)
Inequivalent atoms, fractional coordinates:
Ce: 0.0000 0.2590 0.2500
Ce: 0.3333 0.6667 0.0000
Si: 0.0000 0.0000 0.0000
Sb: 0.0000 0.3850 0.7500

Calculated values
* total energy: -6.17 eV/atom



(17)
Entry from Alexandria via LeMat-Bulk: a geometry-optimized Ce6Si2Sb structure (PBE).

a = 9.2434 Å, b = 9.6543 Å, c = 10.5168 Å
α = 90.00°, β = 90.00°, γ = 90.00°
Space group Immm (No. 71)
Inequivalent atoms, fractional coordinates:
Ce: 0.0000 0.2174 0.2476
Ce: 0.2199 0.5000 0.1883
Ce: 0.2207 0.2947 0.5000
Si: 0.0000 0.3776 0.0000
Si: 0.0000 0.5000 0.3874
Sb: 0.0000 0.0000 0.0000
Sb: 0.0000 0.0000 0.5000

Calculated values
* total energy: -6.12 eV/atom



(18)
Entry from Alexandria via LeMat-Bulk: a geometry-optimized Ce7Si3Sb structure (PBE).

a = 10.6754 Å, b = 11.2635 Å, c = 5.8217 Å
α = 90.00°, β = 122.96°, γ = 90.00°
Space group C2/m (No. 12)
Inequivalent atoms, fractional coordinates:
Ce: 0.0000 0.0000 0.0000
Ce: 0.1496 0.5000 0.1498
Ce: 0.1521 0.2669 0.6523
Si: 0.0000 0.2639 0.0000
Si: 0.0000 0.5000 0.5000
Sb: 0.0000 0.0000 0.5000

Calculated values
* total energy: -6.07 eV/atom



(19)
Entry from Alexandria via LeMat-Bulk: a geometry-optimized Ce5Si2Sb2 structure (PBE).

a = 15.4151 Å, b = 7.9652 Å, c = 7.9691 Å
α = 90.00°, β = 90.00°, γ = 90.00°
Space group Cmce (No. 64)
Inequivalent atoms, fractional coordinates:
Ce: 0.0000 0.0000 0.0000
Ce: 0.1273 0.1816 0.3182
Si: 0.0000 0.1110 0.6118
Sb: 0.2133 0.0000 0.0000

Calculated values
* total energy: -6.20 eV/atom



(20)
Entry from Alexandria via LeMat-Bulk: a geometry-optimized CeSiSb structure (PBE).

a = 4.1461 Å, b = 17.0402 Å, c = 4.1573 Å
α = 90.00°, β = 90.00°, γ = 90.00°
Space group Cmcm (No. 63)
Inequivalent atoms, fractional coordinates:
Ce: 0.0000 0.1002 0.2500
Si: 0.0000 0.4676 0.2500
Sb: 0.0000 0.3146 0.2500

Calculated values
* total energy: -5.82 eV/atom



(21)
Entry from Alexandria via LeMat-Bulk: a geometry-optimized CeSmSb2 structure (PBE).

a = 6.3440 Å, b = 6.3440 Å, c = 12.6833 Å
α = 90.00°, β = 90.00°, γ = 90.00°
Space group I4_1/amd (No. 141, origin choice 2)
Inequivalent atoms, fractional coordinates:
Ce: 0.0000 0.2500 0.3750
Sm: 0.0000 0.2500 0.8750
Sb: 0.0000 0.2500 0.1254

Calculated values
* total energy: -5.84 eV/atom